[1]
AcPaSn PBE-GGA optimized geometry; symmetry = P4/nmm; crystal system = tetragonal; ΔE to the lowest computed polymorph = 0.00 kJ/mol of atoms
1.0
4.557 0.000 0.000
0.000 4.557 0.000
0.000 0.000 9.345
Ac Pa Sn
2 2 2
Direct
0.250 0.250 0.141 Ac
0.750 0.750 0.859 Ac
0.250 0.750 0.500 Pa
0.750 0.250 0.500 Pa
0.250 0.250 0.748 Sn
0.750 0.750 0.252 Sn

***

[2]
LiCS2Cl PBE-GGA optimized geometry; symmetry = P4/mmm; crystal system = tetragonal; ΔE to the lowest computed polymorph = 0.00 kJ/mol of atoms
1.0
3.816 0.000 0.000
0.000 3.816 0.000
0.000 0.000 8.157
Li C S Cl
1 1 2 1
Direct
0.000 0.000 0.000 Li
0.500 0.500 0.500 C
0.000 0.500 0.500 S
0.500 0.000 0.500 S
0.500 0.500 0.000 Cl

***

[3]
Ta2TlZn PBE-GGA optimized geometry; symmetry = P4/mmm; crystal system = tetragonal
1.0
2.965 0.000 0.000
0.000 2.965 0.000
0.000 0.000 8.322
Ta Tl Zn
2 1 1
Direct
0.000 0.000 0.222 Ta
0.000 0.000 0.778 Ta
0.500 0.500 0.500 Tl
0.500 0.500 0.000 Zn

***

[4]
Fe2SbP2 PBE-GGA optimized geometry; symmetry = I4/mmm; crystal system = tetragonal
1.0
-1.764 1.764 5.798
1.764 -1.764 5.798
1.764 1.764 -5.798
Fe Sb P
2 1 2
Direct
0.135 0.135 0.000 Fe
0.865 0.865 0.000 Fe
0.500 0.500 0.000 Sb
0.250 0.750 0.500 P
0.750 0.250 0.500 P

***

[5]
Ti2MnAlS PBE-GGA optimized geometry; symmetry = P4/mmm; crystal system = tetragonal
1.0
4.464 0.000 0.000
0.000 4.464 0.000
0.000 0.000 4.096
Ti Mn Al S
2 1 1 1
Direct
0.000 0.500 0.000 Ti
0.500 0.000 0.000 Ti
0.000 0.000 0.500 Mn
0.500 0.500 0.500 Al
0.000 0.000 0.000 S

***

[6]
CuAgF3 PBE-GGA optimized geometry; symmetry = Pnma; crystal system = orthorhombic; ΔE to the lowest computed polymorph = 0.60 kJ/mol of atoms
1.0
5.661 0.000 0.000
0.000 7.988 0.000
0.000 0.000 5.649
Cu Ag F
4 4 12
Direct
0.000 0.000 0.000 Cu
0.000 0.500 0.000 Cu
0.500 0.000 0.500 Cu
0.500 0.500 0.500 Cu
0.029 0.250 0.494 Ag
0.471 0.750 0.994 Ag
0.529 0.250 0.006 Ag
0.971 0.750 0.506 Ag
0.013 0.750 0.072 F
0.214 0.537 0.713 F
0.214 0.963 0.713 F
0.286 0.037 0.213 F
0.286 0.463 0.213 F
0.487 0.250 0.572 F
0.513 0.750 0.428 F
0.714 0.537 0.787 F
0.714 0.963 0.787 F
0.786 0.037 0.287 F
0.786 0.463 0.287 F
0.987 0.250 0.928 F

***

One value per record, in order, for energy: -6.1829, -3.8345, -6.4856, -6.4668, -6.7811, -3.8185 eV/atom.